1.
TaMn2Pb: optimized geometry, GGA-PBE.

a = 7.271 Å, b = 7.271 Å, c = 5.869 Å
α = 51.72°, β = 51.72°, γ = 90.00°
Each line ends with the local moment (μB).
Sites, in units of the cell vectors:
Pb1 0.000 0.000 0.000  0.00
Pb2 0.750 0.250 0.500  0.00
Mn1 0.598 0.125 0.250  2.76
Mn2 0.152 0.625 0.250  2.80
Mn3 0.375 0.402 0.750  2.71
Mn4 0.875 0.848 0.750  2.74
Ta1 0.500 0.500 0.000  -0.62
Ta2 0.250 0.750 0.500  -0.62

crystal system = tetragonal
formation energy from the elements = 820 meV per atom
DFT total energy = -7.66 eV/atom

=====

2.
MgPSe2: optimized geometry, GGA-PBE.

a = 6.630 Å, b = 6.630 Å, c = 6.630 Å
α = 34.56°, β = 34.56°, γ = 34.56°
Sites, in units of the cell vectors:
Mg1 0.250 0.250 0.250
P1 0.750 0.750 0.750
Se1 0.005 0.005 0.005
Se2 0.495 0.495 0.495

crystal system = trigonal
DFT total energy = -3.73 eV/atom
energy relative to the elements, uncorrected = -0.234 eV per atom

=====

3.
BeTc2P: optimized geometry, GGA-PBE.

a = 3.858 Å, b = 2.988 Å, c = 4.449 Å
α = 70.40°, β = 90.00°, γ = 90.00°
Sites, in units of the cell vectors:
P1 0.500 0.542 0.789
Tc1 0.000 0.986 0.905
Tc2 0.500 0.262 0.349
Be1 0.000 0.710 0.456

crystal system = monoclinic
formation energy from the elements = -426 meV per atom
DFT total energy = -7.89 eV/atom

=====

4.
NaNd2Ni: optimized geometry, GGA-PBE.

a = 3.944 Å, b = 3.944 Å, c = 10.799 Å
α = 79.48°, β = 79.48°, γ = 60.00°
Sites, in units of the cell vectors:
Ni1 0.500 0.500 0.500
Nd1 0.118 0.118 0.647
Nd2 0.882 0.882 0.353
Na1 0.000 0.000 0.000

crystal system = trigonal
formation energy from the elements = 26 meV per atom
DFT total energy = -4.13 eV/atom